Compound: BaNp2S5
Source: the Alexandria database
Functional: GGA-PBE
Structure: relaxed

abc: 6.8615 6.8615 13.2106
angles: 90.00 90.00 134.05
With the nearest neighbours (Å) after each atom.
Element x y z (fractional)
Ba  0.0360  0.9640  0.7500  5 S 3.19-3.31
Ba  0.9640  0.0360  0.2500  5 S 3.19-3.31
Np  0.3521  0.6479  0.5554  6 S 2.61-2.70
Np  0.3521  0.6479  0.9446  6 S 2.61-2.70
Np  0.6479  0.3521  0.0554  6 S 2.61-2.70
Np  0.6479  0.3521  0.4446  6 S 2.61-2.70
S  0.1646  0.8354  0.0422  3 Np 2.69-2.70
S  0.1646  0.8354  0.4578  3 Np 2.69-2.70
S  0.2981  0.7019  0.7500  2 Np 2.66
S  0.4524  0.5476  0.1198  2 Np 2.61-2.64
S  0.4524  0.5476  0.3802  2 Np 2.61-2.64
S  0.5476  0.4524  0.6198  2 Np 2.61-2.64
S  0.5476  0.4524  0.8802  2 Np 2.61-2.64
S  0.7019  0.2981  0.2500  2 Np 2.66
S  0.8354  0.1646  0.5422  3 Np 2.69-2.70
S  0.8354  0.1646  0.9578  3 Np 2.69-2.70

Output
The value obtained for the density of states at the Fermi level is 20.81 states/eV/f.u. Its symmetry is No. 63. The value obtained for the uncorrected formation energy is -1.487 eV per atom.